# 1
Entry from Alexandria via LeMat-Bulk: a relaxed structure of ZrBeRh2W (PBE-GGA).

Raw total energy ... -8.04 eV per atom
Total magnetic moment ... 0.00 μB/f.u.

```
data_ZrBeRh2W
_chemical_formula_sum 'Zr1 Be1 Rh2 W1'
_symmetry_space_group_name_H-M 'P 1'
_symmetry_Int_Tables_number 1
_cell_length_a 4.153
_cell_length_b 4.153
_cell_length_c 4.396
_cell_angle_alpha 90.00
_cell_angle_beta 90.00
_cell_angle_gamma 90.00
loop_
_symmetry_equiv_pos_as_xyz
'x,y,z'
loop_
_atom_site_label
_atom_site_fract_x
_atom_site_fract_y
_atom_site_fract_z
Zr1 0.000 0.000 0.000
Be1 0.500 0.500 0.500
Rh1 0.000 0.500 0.500
Rh2 0.500 0.000 0.500
W1 0.500 0.500 0.000
```

---

# 2
Entry from Alexandria via LeMat-Bulk: a relaxed structure of YBe2Rh (PBE-GGA).

Raw total energy ... -5.27 eV per atom
Total magnetic moment ... 0.00 μB/f.u.

```
data_YBe2Rh
_chemical_formula_sum 'Y2 Be4 Rh2'
_symmetry_space_group_name_H-M 'P 1'
_symmetry_Int_Tables_number 1
_cell_length_a 5.324
_cell_length_b 7.125
_cell_length_c 3.122
_cell_angle_alpha 90.00
_cell_angle_beta 90.00
_cell_angle_gamma 90.00
loop_
_symmetry_equiv_pos_as_xyz
'x,y,z'
loop_
_atom_site_label
_atom_site_fract_x
_atom_site_fract_y
_atom_site_fract_z
Y1 0.000 0.000 0.000
Y2 0.500 0.500 0.000
Be1 0.250 0.250 0.500
Be2 0.250 0.750 0.500
Be3 0.750 0.250 0.500
Be4 0.750 0.750 0.500
Rh1 0.000 0.500 0.000
Rh2 0.500 0.000 0.000
```

---

# 3
Entry from Alexandria via LeMat-Bulk: a relaxed structure of YBeRh (PBE-GGA).

Raw total energy ... -6.45 eV per atom
Total magnetic moment ... 0.00 μB/f.u.

```
data_YBeRh
_chemical_formula_sum 'Y4 Be4 Rh4'
_symmetry_space_group_name_H-M 'P 1'
_symmetry_Int_Tables_number 1
_cell_length_a 6.813
_cell_length_b 4.135
_cell_length_c 7.234
_cell_angle_alpha 90.00
_cell_angle_beta 90.00
_cell_angle_gamma 90.00
loop_
_symmetry_equiv_pos_as_xyz
'x,y,z'
loop_
_atom_site_label
_atom_site_fract_x
_atom_site_fract_y
_atom_site_fract_z
Y1 0.005 0.250 0.194
Y2 0.495 0.750 0.694
Y3 0.505 0.250 0.306
Y4 0.995 0.750 0.806
Be1 0.180 0.250 0.588
Be2 0.320 0.750 0.088
Be3 0.680 0.250 0.912
Be4 0.820 0.750 0.412
Rh1 0.172 0.750 0.429
Rh2 0.328 0.250 0.929
Rh3 0.672 0.750 0.071
Rh4 0.828 0.250 0.571
```

---

# 4
Entry from Alexandria via LeMat-Bulk: a relaxed structure of YBeRh2 (PBE-GGA).

Raw total energy ... -6.36 eV per atom
Total magnetic moment ... 0.00 μB/f.u.

```
data_YBeRh2
_chemical_formula_sum 'Y4 Be4 Rh8'
_symmetry_space_group_name_H-M 'P 1'
_symmetry_Int_Tables_number 1
_cell_length_a 6.382
_cell_length_b 6.382
_cell_length_c 6.382
_cell_angle_alpha 90.00
_cell_angle_beta 90.00
_cell_angle_gamma 90.00
loop_
_symmetry_equiv_pos_as_xyz
'x,y,z'
loop_
_atom_site_label
_atom_site_fract_x
_atom_site_fract_y
_atom_site_fract_z
Y1 0.000 0.000 0.000
Y2 0.000 0.500 0.500
Y3 0.500 0.000 0.500
Y4 0.500 0.500 0.000
Be1 0.250 0.250 0.250
Be2 0.250 0.750 0.750
Be3 0.750 0.250 0.750
Be4 0.750 0.750 0.250
Rh1 0.000 0.000 0.500
Rh2 0.000 0.500 0.000
Rh3 0.250 0.250 0.750
Rh4 0.250 0.750 0.250
Rh5 0.500 0.000 0.000
Rh6 0.500 0.500 0.500
Rh7 0.750 0.250 0.250
Rh8 0.750 0.750 0.750
```

---

# 5
Entry from Alexandria via LeMat-Bulk: a relaxed structure of Y2BeRh2 (PBE-GGA).

Raw total energy ... -6.80 eV per atom
Total magnetic moment ... 0.00 μB/f.u.

```
data_Y2BeRh2
_chemical_formula_sum 'Y4 Be2 Rh4'
_symmetry_space_group_name_H-M 'P 1'
_symmetry_Int_Tables_number 1
_cell_length_a 6.541
_cell_length_b 6.541
_cell_length_c 4.407
_cell_angle_alpha 90.00
_cell_angle_beta 90.00
_cell_angle_gamma 90.00
loop_
_symmetry_equiv_pos_as_xyz
'x,y,z'
loop_
_atom_site_label
_atom_site_fract_x
_atom_site_fract_y
_atom_site_fract_z
Y1 0.175 0.325 0.000
Y2 0.325 0.825 0.000
Y3 0.675 0.175 0.000
Y4 0.825 0.675 0.000
Be1 0.000 0.000 0.500
Be2 0.500 0.500 0.500
Rh1 0.145 0.645 0.500
Rh2 0.355 0.145 0.500
Rh3 0.645 0.855 0.500
Rh4 0.855 0.355 0.500
```

---

# 6
Entry from Alexandria via LeMat-Bulk: a relaxed structure of Y2BeRh (PBE-GGA).

Raw total energy ... -6.32 eV per atom
Total magnetic moment ... 0.00 μB/f.u.

```
data_Y2BeRh
_chemical_formula_sum 'Y4 Be2 Rh2'
_symmetry_space_group_name_H-M 'P 1'
_symmetry_Int_Tables_number 1
_cell_length_a 3.740
_cell_length_b 4.100
_cell_length_c 11.745
_cell_angle_alpha 90.00
_cell_angle_beta 90.00
_cell_angle_gamma 90.00
loop_
_symmetry_equiv_pos_as_xyz
'x,y,z'
loop_
_atom_site_label
_atom_site_fract_x
_atom_site_fract_y
_atom_site_fract_z
Y1 0.000 0.000 0.000
Y2 0.000 0.500 0.245
Y3 0.500 0.000 0.745
Y4 0.500 0.500 0.500
Be1 0.000 0.500 0.818
Be2 0.500 0.000 0.318
Rh1 0.000 0.000 0.424
Rh2 0.500 0.500 0.924
```

---

# 7
Entry from Alexandria via LeMat-Bulk: a relaxed structure of Y4BeRh (PBE-GGA).

Raw total energy ... -5.33 eV per atom
Total magnetic moment ... 0.00 μB/f.u.

```
data_Y4BeRh
_chemical_formula_sum 'Y4 Be1 Rh1'
_symmetry_space_group_name_H-M 'P 1'
_symmetry_Int_Tables_number 1
_cell_length_a 6.014
_cell_length_b 6.014
_cell_length_c 6.014
_cell_angle_alpha 60.00
_cell_angle_beta 60.00
_cell_angle_gamma 60.00
loop_
_symmetry_equiv_pos_as_xyz
'x,y,z'
loop_
_atom_site_label
_atom_site_fract_x
_atom_site_fract_y
_atom_site_fract_z
Y1 0.376 0.376 0.376
Y2 0.376 0.376 0.873
Y3 0.376 0.873 0.376
Y4 0.873 0.376 0.376
Be1 0.000 0.000 0.000
Rh1 0.750 0.750 0.750
```

---

# 8
Entry from Alexandria via LeMat-Bulk: a relaxed structure of YBe4Rh (PBE-GGA).

Raw total energy ... -5.13 eV per atom
Total magnetic moment ... 0.00 μB/f.u.

```
data_YBe4Rh
_chemical_formula_sum 'Y1 Be4 Rh1'
_symmetry_space_group_name_H-M 'P 1'
_symmetry_Int_Tables_number 1
_cell_length_a 4.680
_cell_length_b 4.680
_cell_length_c 4.680
_cell_angle_alpha 60.00
_cell_angle_beta 60.00
_cell_angle_gamma 60.00
loop_
_symmetry_equiv_pos_as_xyz
'x,y,z'
loop_
_atom_site_label
_atom_site_fract_x
_atom_site_fract_y
_atom_site_fract_z
Y1 0.000 0.000 0.000
Be1 0.136 0.621 0.621
Be2 0.621 0.136 0.621
Be3 0.621 0.621 0.136
Be4 0.621 0.621 0.621
Rh1 0.250 0.250 0.250
```

---

# 9
Entry from Alexandria via LeMat-Bulk: a relaxed structure of YBe2Rh (PBE-GGA).

Raw total energy ... -5.32 eV per atom
Total magnetic moment ... 0.00 μB/f.u.

```
data_YBe2Rh
_chemical_formula_sum 'Y4 Be8 Rh4'
_symmetry_space_group_name_H-M 'P 1'
_symmetry_Int_Tables_number 1
_cell_length_a 6.267
_cell_length_b 6.267
_cell_length_c 6.267
_cell_angle_alpha 90.00
_cell_angle_beta 90.00
_cell_angle_gamma 90.00
loop_
_symmetry_equiv_pos_as_xyz
'x,y,z'
loop_
_atom_site_label
_atom_site_fract_x
_atom_site_fract_y
_atom_site_fract_z
Y1 0.000 0.000 0.000
Y2 0.000 0.500 0.500
Y3 0.500 0.000 0.500
Y4 0.500 0.500 0.000
Be1 0.000 0.000 0.500
Be2 0.000 0.500 0.000
Be3 0.250 0.250 0.750
Be4 0.250 0.750 0.250
Be5 0.500 0.000 0.000
Be6 0.500 0.500 0.500
Be7 0.750 0.250 0.250
Be8 0.750 0.750 0.750
Rh1 0.250 0.250 0.250
Rh2 0.250 0.750 0.750
Rh3 0.750 0.250 0.750
Rh4 0.750 0.750 0.250
```

---

# 10
Entry from Alexandria via LeMat-Bulk: a relaxed structure of Y2BeRh (PBE-GGA).

Raw total energy ... -5.87 eV per atom
Total magnetic moment ... 0.00 μB/f.u.

```
data_Y2BeRh
_chemical_formula_sum 'Y8 Be4 Rh4'
_symmetry_space_group_name_H-M 'P 1'
_symmetry_Int_Tables_number 1
_cell_length_a 7.484
_cell_length_b 7.484
_cell_length_c 6.352
_cell_angle_alpha 90.00
_cell_angle_beta 90.00
_cell_angle_gamma 90.00
loop_
_symmetry_equiv_pos_as_xyz
'x,y,z'
loop_
_atom_site_label
_atom_site_fract_x
_atom_site_fract_y
_atom_site_fract_z
Y1 0.235 0.750 0.125
Y2 0.250 0.235 0.875
Y3 0.250 0.265 0.375
Y4 0.265 0.750 0.625
Y5 0.735 0.250 0.625
Y6 0.750 0.735 0.375
Y7 0.750 0.765 0.875
Y8 0.765 0.250 0.125
Be1 0.000 0.000 0.500
Be2 0.000 0.500 0.750
Be3 0.500 0.000 0.250
Be4 0.500 0.500 0.000
Rh1 0.000 0.000 0.000
Rh2 0.000 0.500 0.250
Rh3 0.500 0.000 0.750
Rh4 0.500 0.500 0.500
```

---

# 11
Entry from Alexandria via LeMat-Bulk: a relaxed structure of YBeRh2 (PBE-GGA).

Raw total energy ... -6.56 eV per atom
Total magnetic moment ... 0.00 μB/f.u.

```
data_YBeRh2
_chemical_formula_sum 'Y1 Be1 Rh2'
_symmetry_space_group_name_H-M 'P 1'
_symmetry_Int_Tables_number 1
_cell_length_a 3.209
_cell_length_b 3.209
_cell_length_c 6.299
_cell_angle_alpha 90.00
_cell_angle_beta 90.00
_cell_angle_gamma 90.00
loop_
_symmetry_equiv_pos_as_xyz
'x,y,z'
loop_
_atom_site_label
_atom_site_fract_x
_atom_site_fract_y
_atom_site_fract_z
Y1 0.000 0.000 0.000
Be1 0.500 0.500 0.351
Rh1 0.000 0.000 0.437
Rh2 0.500 0.500 0.735
```

---

# 12
Entry from Alexandria via LeMat-Bulk: a relaxed structure of YBe2Rh (PBE-GGA).

Raw total energy ... -5.79 eV per atom
Total magnetic moment ... 0.00 μB/f.u.

```
data_YBe2Rh
_chemical_formula_sum 'Y2 Be4 Rh2'
_symmetry_space_group_name_H-M 'P 1'
_symmetry_Int_Tables_number 1
_cell_length_a 6.693
_cell_length_b 3.856
_cell_length_c 5.349
_cell_angle_alpha 90.00
_cell_angle_beta 114.66
_cell_angle_gamma 90.00
loop_
_symmetry_equiv_pos_as_xyz
'x,y,z'
loop_
_atom_site_label
_atom_site_fract_x
_atom_site_fract_y
_atom_site_fract_z
Y1 0.000 0.000 0.000
Y2 0.500 0.500 0.000
Be1 0.197 0.000 0.590
Be2 0.303 0.500 0.410
Be3 0.697 0.500 0.590
Be4 0.803 0.000 0.410
Rh1 0.000 0.500 0.500
Rh2 0.500 0.000 0.500
```

---

Question: Which formula does entry 12 have?
Answer: YBe2Rh

---

Question: Which value of total magnetic moment does entry 1 give?
Answer: 0.00 μB/f.u.